# 1
Compound: Cs2BrN2
Source: the Alexandria database
Functional: GGA-PBE
Structure: optimized geometry

ρ ... 3.4 g/cm³
ΔE_f (raw) ... -0.794 eV per atom

Cell: 4.9968 4.9968 9.1558 Å, 109.23 109.23 60.23°
Positions (direct):
1 Cs 0.2318 0.2318 0.2388
2 Cs 0.7682 0.7682 0.7612
3 Br 0.0000 0.0000 0.5000
4 N 0.4574 0.4574 0.0372
5 N 0.5426 0.5426 0.9628



# 2
Compound: CsBrN
Source: the Alexandria database
Functional: GGA-PBE
Structure: optimized geometry

ρ ... 2.6 g/cm³
ΔE_f (raw) ... -1.158 eV per atom

Cell: 11.1936 5.1265 10.2551 Å, 90.00 90.99 90.00°
Positions (direct):
1 Cs 0.1621 0.2491 0.3776
2 Cs 0.1621 0.2509 0.8776
3 Cs 0.8379 0.7491 0.1224
4 Cs 0.8379 0.7509 0.6224
5 Br 0.1644 0.7496 0.1281
6 Br 0.1644 0.7504 0.6281
7 Br 0.8356 0.2496 0.3719
8 Br 0.8356 0.2504 0.8719
9 N 0.4614 0.0522 0.9771
10 N 0.4614 0.4478 0.4771
11 N 0.5386 0.5522 0.5229
12 N 0.5386 0.9478 0.0229



# 3
Compound: Cs2BrN2
Source: the Alexandria database
Functional: GGA-PBE
Structure: optimized geometry

ρ ... 3.8 g/cm³
ΔE_f (raw) ... -0.727 eV per atom

Cell: 6.2159 6.2159 6.2159 Å, 122.62 122.62 85.52°
Positions (direct):
1 Cs 0.2500 0.7500 0.5000
2 Cs 0.7500 0.2500 0.5000
3 Br 0.0000 0.0000 0.0000
4 N 0.4351 0.4351 0.0000
5 N 0.5649 0.5649 0.0000



# 4
Compound: Cs2NaBr6N
Source: the Alexandria database
Functional: GGA-PBE
Structure: optimized geometry

ρ ... 4.1 g/cm³
ΔE_f (raw) ... -0.539 eV per atom

Cell: 7.6817 7.6817 7.6817 Å, 60.00 60.00 60.00°
Positions (direct):
1 Cs 0.2500 0.2500 0.2500
2 Cs 0.7500 0.7500 0.7500
3 Na 0.0000 0.0000 0.0000
4 Br 0.2764 0.2764 0.7236
5 Br 0.2764 0.7236 0.2764
6 Br 0.2764 0.7236 0.7236
7 Br 0.7236 0.2764 0.2764
8 Br 0.7236 0.2764 0.7236
9 Br 0.7236 0.7236 0.2764
10 N 0.5000 0.5000 0.5000



# 5
Compound: CsBrNO2
Source: the Alexandria database
Functional: GGA-PBE
Structure: optimized geometry

ρ ... 3.3 g/cm³
ΔE_f (raw) ... 1.549 eV per atom

Cell: 4.2802 4.2802 7.0907 Å, 90.00 90.00 90.00°
Positions (direct):
1 Cs 0.0000 0.0000 0.0000
2 Br 0.5000 0.5000 0.5000
3 N 0.0000 0.0000 0.5000
4 O 0.0000 0.5000 0.0000
5 O 0.5000 0.0000 0.0000



# 6
Compound: CsBrN2O
Source: the Alexandria database
Functional: GGA-PBE
Structure: optimized geometry

ρ ... 2.4 g/cm³
ΔE_f (raw) ... 2.091 eV per atom

Cell: 6.1651 6.1651 4.6174 Å, 90.00 90.00 90.00°
Positions (direct):
1 Cs 0.0000 0.0000 0.0000
2 Br 0.5000 0.5000 0.5000
3 N 0.0000 0.5000 0.0000
4 N 0.5000 0.0000 0.0000
5 O 0.0000 0.0000 0.5000



# 7
Compound: Cs2PBr6N
Source: the Alexandria database
Functional: GGA-PBE
Structure: optimized geometry

ρ ... 4.1 g/cm³
ΔE_f (raw) ... -0.372 eV per atom

Cell: 7.8275 7.8275 7.8275 Å, 123.57 123.57 83.92°
Positions (direct):
1 Cs 0.2500 0.7500 0.5000
2 Cs 0.7500 0.2500 0.5000
3 P 0.0000 0.0000 0.0000
4 Br 0.2171 0.2171 0.0000
5 Br 0.2398 0.2398 0.4796
6 Br 0.2398 0.7602 0.0000
7 Br 0.7602 0.2398 0.0000
8 Br 0.7602 0.7602 0.5204
9 Br 0.7829 0.7829 0.0000
10 N 0.5000 0.5000 0.0000



# 8
Compound: Cs2PbBr6N
Source: the Alexandria database
Functional: GGA-PBE
Structure: optimized geometry

ρ ... 4.4 g/cm³
ΔE_f (raw) ... -0.550 eV per atom

Cell: 8.3734 8.3734 8.3734 Å, 126.77 126.77 78.63°
Positions (direct):
1 Cs 0.2500 0.7500 0.5000
2 Cs 0.7500 0.2500 0.5000
3 Pb 0.0000 0.0000 0.0000
4 Br 0.2274 0.2274 0.0000
5 Br 0.2800 0.2800 0.5600
6 Br 0.2800 0.7200 0.0000
7 Br 0.7200 0.2800 0.0000
8 Br 0.7200 0.7200 0.4400
9 Br 0.7726 0.7726 0.0000
10 N 0.5000 0.5000 0.0000



These records have VASP energy values of -4.800; -4.776; -4.734; -2.677; -2.605; -2.736; -2.920; -2.928 eV/atom, in the order they appear.